Model P:
## BaRuI2O (PBE)

Data for a relaxed BaRuI2O crystal.

Cell and atoms, written as POSCAR:
```
BaRuI2O
1.0
5.8769 0.0000 0.0000
0.0000 5.8769 0.0000
0.0000 0.0000 3.8818
Ba Ru I O
1 1 2 1
direct
0.0000 0.0000 0.0000
0.5000 0.5000 0.5000
0.0000 0.5000 0.5000
0.5000 0.0000 0.5000
0.5000 0.5000 0.0000
```

total magnetization	0.3	Bohr magnetons per cell
D(E_F)	4.565	states/eV per cell

---

Model Q:
## BaRuI2O (PBE)

Data for a relaxed BaRuI2O crystal.

Cell and atoms, written as POSCAR:
```
BaRuI2O
1.0
6.6940 0.0000 0.0000
0.0000 6.6940 0.0000
0.0000 0.0000 4.4784
Ba Ru I O
1 1 2 1
direct
0.0000 0.0000 0.0000
0.5000 0.5000 0.5000
0.0000 0.5000 0.0000
0.5000 0.0000 0.0000
0.0000 0.0000 0.5000
```

total magnetization	3.2	Bohr magnetons per cell
D(E_F)	9.092	states/eV per cell

---

So which one is most stable? That would be model P, about 1057 meV per atom below the next structure.

---

Model P:
## BaRuIO2 (PBE)

Data for a relaxed BaRuIO2 crystal.

Cell and atoms, written as POSCAR:
```
BaRuIO2
1.0
4.4264 0.0000 0.0000
0.0000 4.4264 0.0000
0.0000 0.0000 5.2660
Ba Ru I O
1 1 1 2
direct
0.0000 0.0000 0.0000
0.5000 0.5000 0.5000
0.5000 0.5000 0.0000
0.0000 0.5000 0.5000
0.5000 0.0000 0.5000
```

total magnetization	2.2	Bohr magnetons per cell
D(E_F)	2.264	states/eV per cell

---

Model Q:
## BaRuIO2 (PBE)

Data for a relaxed BaRuIO2 crystal.

Cell and atoms, written as POSCAR:
```
BaRuIO2
1.0
4.4607 0.0000 0.0000
0.0000 4.4607 0.0000
0.0000 0.0000 7.3611
Ba Ru I O
1 1 1 2
direct
0.0000 0.0000 0.0000
0.5000 0.5000 0.5000
0.0000 0.0000 0.5000
0.0000 0.5000 0.0000
0.5000 0.0000 0.0000
```

total magnetization	2.9	Bohr magnetons per cell
D(E_F)	8.946	states/eV per cell

---

So which one is most stable? That would be model P, about 1007 meV per atom below the next structure.

---

Model P:
## BaSbI2O (PBE)

Data for a relaxed BaSbI2O crystal.

Cell and atoms, written as POSCAR:
```
BaSbI2O
1.0
6.4435 0.0000 0.0000
0.0000 6.4435 0.0000
0.0000 0.0000 4.1148
Ba Sb I O
1 1 2 1
direct
0.0000 0.0000 0.0000
0.5000 0.5000 0.0000
0.0000 0.5000 0.5000
0.5000 0.0000 0.5000
0.5000 0.5000 0.5000
```

total magnetization	0.0	Bohr magnetons per cell
D(E_F)	1.418	states/eV per cell

---

Model Q:
## BaSbI2O (PBE)

Data for a relaxed BaSbI2O crystal.

Cell and atoms, written as POSCAR:
```
BaSbI2O
1.0
6.4273 0.0000 0.0000
0.0000 6.4273 0.0000
0.0000 0.0000 4.2196
Ba Sb I O
1 1 2 1
direct
0.0000 0.0000 0.0000
0.5000 0.5000 0.5000
0.0000 0.5000 0.5000
0.5000 0.0000 0.5000
0.5000 0.5000 0.0000
```

total magnetization	0.3	Bohr magnetons per cell
D(E_F)	2.263	states/eV per cell

---

Model R:
## BaSbI2O (PBE)

Data for a relaxed BaSbI2O crystal.

Cell and atoms, written as POSCAR:
```
BaSbI2O
1.0
6.7752 0.0000 0.0000
0.0000 6.7752 0.0000
0.0000 0.0000 4.4719
Ba Sb I O
1 1 2 1
direct
0.0000 0.0000 0.0000
0.5000 0.5000 0.5000
0.0000 0.5000 0.0000
0.5000 0.0000 0.0000
0.0000 0.0000 0.5000
```

total magnetization	1.5	Bohr magnetons per cell
D(E_F)	2.701	states/eV per cell

---

So which one is most stable? That would be model Q, about 179 meV per atom below the next structure.